DFT (PBE) results for a relaxed SrCdTeO crystal.

Mass density in g/cm³: 6.1
Space group: Cmcm
Final energy in hartree per atom: -0.1367

a = 3.781 Å, b = 6.170 Å, c = 8.191 Å
α = 90.00°, β = 76.66°, γ = 90.00°
Fractional coordinates of all 8 atoms:
Cd  0.559  0.250  0.881
Cd  0.441  0.750  0.119
Te  0.201  0.250  0.598
Te  0.799  0.750  0.402
O  0.000  0.500  0.000
O  0.000  0.000  0.000
Sr  0.880  0.250  0.241
Sr  0.120  0.750  0.759